# Mo2ClF2

A relaxed Mo2ClF2 crystal (GGA+U, Alexandria).

The space group is P4/mbm (No. 127) and the conventional cell measures 6.6160, 6.6160 and 4.1632 Å, with angles of 90.00, 90.00 and 90.00 degrees. The distinct sites, in fractional coordinates, are Mo at (0.1218, 0.3782, 0.0000), Cl at (0.0000, 0.0000, 0.0000) and F at (0.1609, 0.3391, 0.5000).

As for the offset from the most stable computed form: 0.0 meV per atom.